# 1
Ba3PaAg2S6 | GGA-PBE | optimized geometry

Summary:
density of states at the Fermi level	0.292	states/eV/atom
ΔE_f (raw)	-1.32	eV per atom
space-group type	P-3m1 (164)

The structure in extended XYZ format:
```
12
Lattice="7.3304 0.0000 0.0000 -3.6652 6.3483 0.0000 0.0000 0.0000 7.9470" Properties=species:S:1:pos:R:3 pbc="T T T"
Ba 0.0000 0.0000 0.0000
Ba 0.0000 4.2322 4.8723
Ba 3.6652 2.1161 3.0747
Pa 0.0000 0.0000 3.9735
Ag 0.0000 4.2322 0.9930
Ag 3.6652 2.1161 6.9540
S 0.0000 2.1064 2.4097
S -1.8411 5.2952 2.4097
S 1.8242 1.0532 5.5373
S 1.8411 5.2952 2.4097
S 5.5063 1.0532 5.5373
S 3.6652 4.2420 5.5373
```

***

# 2
Ba2PaAgS6 | GGA-PBE | optimized geometry

Summary:
density of states at the Fermi level	0.382	states/eV/atom
ΔE_f (raw)	-1.31	eV per atom
space-group type	P4/mmm (123)

The structure in extended XYZ format:
```
10
Lattice="5.1883 0.0000 0.0000 0.0000 5.1883 0.0000 0.0000 0.0000 10.0356" Properties=species:S:1:pos:R:3 pbc="T T T"
Ba 0.0000 0.0000 2.1202
Ba 0.0000 0.0000 7.9154
Pa 2.5942 2.5942 5.0178
Ag 2.5942 2.5942 0.0000
S 0.0000 2.5942 0.0000
S 0.0000 2.5942 5.0178
S 2.5942 0.0000 0.0000
S 2.5942 0.0000 5.0178
S 2.5942 2.5942 2.4694
S 2.5942 2.5942 7.5662
```

***

# 3
Ba4Pa3AgS12 | GGA-PBE | optimized geometry

Summary:
ΔE_f (raw)	-1.66	eV per atom
space-group type	Im-3m (229)

The structure in extended XYZ format:
```
20
Lattice="-5.2398 5.2398 5.2398 5.2398 -5.2398 5.2398 5.2398 5.2398 -5.2398" Properties=species:S:1:pos:R:3 pbc="T T T"
Ba 2.6199 2.6199 -2.6199
Ba 2.6199 -2.6199 2.6199
Ba -2.6199 2.6199 2.6199
Ba 2.6199 2.6199 2.6199
Pa 5.2398 0.0000 0.0000
Pa 0.0000 5.2398 0.0000
Pa 0.0000 0.0000 5.2398
Ag 0.0000 0.0000 0.0000
S 2.6955 0.0000 0.0000
S 7.7842 0.0000 0.0000
S 5.2398 2.6199 0.0000
S 5.2398 0.0000 2.6199
S 0.0000 2.6955 0.0000
S 0.0000 0.0000 2.6955
S 2.6199 5.2398 0.0000
S 2.6199 0.0000 5.2398
S 0.0000 7.7842 0.0000
S 0.0000 0.0000 7.7842
S 0.0000 5.2398 2.6199
S 0.0000 2.6199 5.2398
```

***

# 4
BaPa2Ag2S7 | GGA-PBE | optimized geometry

Summary:
ΔE_f (raw)	-1.28	eV per atom
space-group type	Imm2 (44)

The structure in extended XYZ format:
```
12
Lattice="-2.6216 11.0138 2.6531 2.6216 -11.0138 2.6531 2.6216 11.0138 -2.6531" Properties=species:S:1:pos:R:3 pbc="T T T"
Ba 0.0000 0.0000 0.0000
Pa 0.0000 8.3686 0.0243
Pa 0.0000 13.6589 0.0243
Ag 2.6216 4.9549 0.0253
Ag 0.0000 6.0589 2.6784
S 2.6216 2.3118 0.0249
S 0.0000 5.8069 0.0254
S 2.6216 8.7536 0.0180
S 0.0000 11.0138 0.0428
S 0.0000 2.2602 2.6710
S 0.0000 16.2207 0.0254
S 0.0000 8.7020 2.6780
```

***

# 5
BaPa3Ag4S12 | GGA-PBE | optimized geometry

Summary:
density of states at the Fermi level	0.871	states/eV/atom
ΔE_f (raw)	-0.88	eV per atom
space-group type	R32 (155)

The structure in extended XYZ format:
```
20
Lattice="7.0187 4.0523 3.3890 -7.0187 4.0523 3.3890 0.0000 -8.1045 3.3890" Properties=species:S:1:pos:R:3 pbc="T T T"
Ba 0.0000 0.0000 0.0000
Pa -3.9627 -1.2409 3.3890
Pa -3.9627 1.2409 6.7781
Pa 0.9067 4.0523 3.3890
Ag -2.8864 -4.9995 5.0835
Ag 0.0000 0.0000 5.0835
Ag -2.8864 4.9995 5.0835
Ag 5.7729 0.0000 5.0835
S -4.5577 -3.3050 4.8371
S -5.6880 0.0000 5.0835
S -0.5834 -5.5996 5.3300
S -2.3939 0.0000 5.0835
S -4.5577 3.3050 5.3300
S 2.8440 -4.9259 5.0835
S 1.1969 -2.0732 5.0835
S -0.5834 5.5996 4.8371
S 1.1969 2.0732 5.0835
S 5.1411 -2.2946 4.8371
S 2.8440 4.9259 5.0835
S 5.1411 2.2946 5.3300
```

***

# 6
BaPaAgS4 | GGA-PBE | optimized geometry

Summary:
ΔE_f (raw)	-1.37	eV per atom
space-group type	Imma (74)

The structure in extended XYZ format:
```
14
Lattice="-4.3604 4.7471 4.5641 4.3604 -4.7471 4.5641 4.3604 4.7471 -4.5641" Properties=species:S:1:pos:R:3 pbc="T T T"
Ba 0.0000 2.3735 1.5412
Ba 4.3604 2.3735 3.0229
Pa 2.1802 2.3735 -2.2820
Pa 2.1802 -2.3735 2.2820
Ag 4.3604 0.0000 0.0000
Ag 0.0000 0.0000 4.5641
S 4.3604 4.0077 -2.6326
S 4.3604 -0.7394 2.6326
S 2.6942 2.3735 0.2321
S 6.0267 2.3735 0.2321
S -1.6662 2.3735 4.3319
S 1.6662 2.3735 4.3319
S 0.0000 5.4865 1.9315
S 0.0000 0.7394 7.1966
```

***

# 7
Ba2PaAg2Se6 | GGA-PBE | optimized geometry

Summary:
density of states at the Fermi level	0.741	states/eV/atom
ΔE_f (raw)	-1.05	eV per atom
space-group type	R-3m (166)

The structure in extended XYZ format:
```
11
Lattice="4.0130 2.3169 6.5316 -4.0130 2.3169 6.5316 0.0000 -4.6338 6.5316" Properties=species:S:1:pos:R:3 pbc="T T T"
Ba 0.0000 0.0000 4.3604
Ba 0.0000 0.0000 15.2342
Pa 0.0000 0.0000 0.0000
Ag 0.0000 0.0000 8.2736
Ag 0.0000 0.0000 11.3211
Se -2.1878 -1.2631 11.2909
Se 0.0000 -2.5262 8.3038
Se -2.1878 1.2631 8.3038
Se 2.1878 -1.2631 11.2909
Se 0.0000 2.5262 11.2909
Se 2.1878 1.2631 8.3038
```

***

# 8
Ba3PaAg2Se6 | GGA-PBE | optimized geometry

Summary:
density of states at the Fermi level	0.350	states/eV/atom
ΔE_f (raw)	-1.21	eV per atom
space-group type	P-3m1 (164)

The structure in extended XYZ format:
```
12
Lattice="7.6438 0.0000 0.0000 -3.8219 6.6197 0.0000 0.0000 0.0000 8.2000" Properties=species:S:1:pos:R:3 pbc="T T T"
Ba 0.0000 0.0000 0.0000
Ba 0.0000 4.4132 5.0071
Ba 3.8219 2.2066 3.1929
Pa 0.0000 0.0000 4.1000
Ag 0.0000 4.4132 0.9260
Ag 3.8219 2.2066 7.2740
Se 0.0000 2.2173 2.4540
Se -1.9016 5.5111 2.4540
Se 1.9203 1.1087 5.7460
Se 1.9016 5.5111 2.4540
Se 5.7235 1.1087 5.7460
Se 3.8219 4.4024 5.7460
```

***

# 9
Ba2PaAgSe6 | GGA-PBE | optimized geometry

Summary:
density of states at the Fermi level	0.431	states/eV/atom
ΔE_f (raw)	-1.21	eV per atom
space-group type	P4/mmm (123)

The structure in extended XYZ format:
```
10
Lattice="5.4301 0.0000 0.0000 0.0000 5.4301 0.0000 0.0000 0.0000 10.5407" Properties=species:S:1:pos:R:3 pbc="T T T"
Ba 0.0000 0.0000 2.1993
Ba 0.0000 0.0000 8.3414
Pa 2.7151 2.7151 5.2704
Ag 2.7151 2.7151 0.0000
Se 0.0000 2.7151 0.0000
Se 0.0000 2.7151 5.2704
Se 2.7151 0.0000 0.0000
Se 2.7151 0.0000 5.2704
Se 2.7151 2.7151 2.5892
Se 2.7151 2.7151 7.9515
```

***

# 10
BaPaAgSe4 | GGA-PBE | optimized geometry

Summary:
ΔE_f (raw)	-1.16	eV per atom
space-group type	Imma (74)

The structure in extended XYZ format:
```
14
Lattice="-4.1476 4.3267 6.7563 4.1476 -4.3267 6.7563 4.1476 4.3267 -6.7563" Properties=species:S:1:pos:R:3 pbc="T T T"
Ba 0.0000 2.1634 2.2574
Ba 4.1476 2.1634 4.4989
Pa 4.1476 0.0000 0.0000
Pa 0.0000 0.0000 6.7563
Ag 2.0738 2.1634 -3.3782
Ag 2.0738 -2.1634 3.3782
Se 4.1476 -0.3966 2.7269
Se 4.1476 3.9302 -2.7269
Se 2.3338 2.1634 0.1316
Se 5.9614 2.1634 0.1316
Se -1.8138 2.1634 6.6248
Se 1.8138 2.1634 6.6248
Se 0.0000 0.3966 9.4832
Se 0.0000 4.7233 4.0294
```

***

# 11
BaPa2AgSe8 | GGA-PBE | optimized geometry

Summary:
density of states at the Fermi level	0.542	states/eV/atom
ΔE_f (raw)	-0.88	eV per atom
space-group type	P-3m1 (164)

The structure in extended XYZ format:
```
12
Lattice="6.4140 0.0000 0.0000 -3.2070 5.5547 0.0000 0.0000 0.0000 8.8321" Properties=species:S:1:pos:R:3 pbc="T T T"
Ba 0.0000 0.0000 0.0000
Pa 0.0000 3.7031 3.4120
Pa 3.2070 1.8516 5.4201
Ag 0.0000 0.0000 4.4160
Se 0.0000 2.0185 5.9726
Se -1.4589 4.5454 5.9726
Se 0.0000 3.7031 0.7812
Se 1.7481 1.0093 2.8595
Se 1.4589 4.5454 5.9726
Se 3.2070 1.8516 8.0509
Se 4.6659 1.0093 2.8595
Se 3.2070 3.5362 2.8595
```

***

# 12
Ba2PaAgSe5 | GGA-PBE | optimized geometry

Summary:
ΔE_f (raw)	-1.48	eV per atom
space-group type	Cmc2_1 (36)

The structure in extended XYZ format:
```
18
Lattice="2.1858 -9.4677 0.0000 2.1858 9.4677 0.0000 0.0000 0.0000 13.3668" Properties=species:S:1:pos:R:3 pbc="T T T"
Ba 2.1858 7.4403 6.6834
Ba 2.1858 7.2231 1.7287
Ba 2.1858 -7.2231 8.4121
Ba 2.1858 -7.4403 0.0000
Pa 2.1858 5.6121 11.0765
Pa 2.1858 -5.6121 4.3931
Ag 2.1858 1.2431 3.3667
Ag 2.1858 -1.2431 10.0501
Se 2.1858 8.2678 11.5700
Se 2.1858 4.0291 6.2405
Se 2.1858 3.8532 2.5131
Se 2.1858 2.8602 10.9449
Se 2.1858 0.0261 7.7792
Se 2.1858 -0.0261 1.0958
Se 2.1858 -2.8602 4.2615
Se 2.1858 -3.8532 9.1965
Se 2.1858 -4.0291 12.9239
Se 2.1858 -8.2678 4.8866
```

***

# 13
Ba2PaAg2Te6 | GGA-PBE | optimized geometry

Summary:
density of states at the Fermi level	0.370	states/eV/atom
ΔE_f (raw)	-0.83	eV per atom
space-group type	C2/m (12)

The structure in extended XYZ format:
```
11
Lattice="7.8121 -3.6523 0.0000 7.8121 3.6523 0.0000 -4.6769 0.0000 7.1629" Properties=species:S:1:pos:R:3 pbc="T T T"
Ba 2.8271 0.0000 1.6355
Ba 8.1203 0.0000 5.5274
Pa -2.3384 0.0000 3.5815
Ag 2.8245 0.0000 5.7606
Ag 8.1228 0.0000 1.4023
Te 5.9257 1.7687 1.2752
Te 0.5580 0.0000 4.2936
Te 5.0217 1.7687 5.8877
Te 5.9257 -1.7687 1.2752
Te 10.3894 0.0000 2.8693
Te 5.0217 -1.7687 5.8877
```

***

# 14
BaPaAgTe4 | GGA-PBE | optimized geometry

Summary:
density of states at the Fermi level	0.852	states/eV/atom
ΔE_f (raw)	-0.85	eV per atom
space-group type	P2_1/m (11)

The structure in extended XYZ format:
```
14
Lattice="7.8670 0.0000 0.0000 0.0000 6.4050 0.0000 -3.2361 0.0000 9.2090" Properties=species:S:1:pos:R:3 pbc="T T T"
Ba 1.6974 1.6013 0.5520
Ba 2.9334 4.8038 8.6570
Pa 0.3445 1.6013 5.1672
Pa 4.2863 4.8038 4.0418
Ag 1.0697 4.8038 2.8242
Ag 3.5611 1.6013 6.3848
Te -2.0519 3.2681 6.5764
Te -2.0519 6.3394 6.5764
Te 1.4788 4.8038 5.5373
Te 3.1442 4.8038 1.1200
Te 1.4866 1.6013 8.0891
Te 3.1521 1.6013 3.6717
Te 6.6828 0.0656 2.6326
Te 6.6828 3.1369 2.6326
```

***

# 15
BaAg4Pb | GGA-PBE | optimized geometry

Summary:
energy of formation	-174	meV per atom
density of states at the Fermi level	0.311	states/eV/atom
space-group type	F-43m (216)

The structure in extended XYZ format:
```
6
Lattice="0.0000 4.1623 4.1623 4.1623 0.0000 4.1623 4.1623 4.1623 0.0000" Properties=species:S:1:pos:R:3 pbc="T T T"
Ba 0.0000 0.0000 0.0000
Ag 5.1996 3.1251 3.1251
Ag 3.1251 5.1996 3.1251
Ag 3.1251 3.1251 5.1996
Ag 5.1996 5.1996 5.1996
Pb 2.0812 2.0812 2.0812
```

***

# 16
Ba2AgPb | GGA-PBE | optimized geometry

Summary:
energy of formation	-147	meV per atom
density of states at the Fermi level	0.726	states/eV/atom
space-group type	Cmm2 (35)

The structure in extended XYZ format:
```
4
Lattice="2.9250 -2.9310 0.0000 2.9250 2.9310 0.0000 0.0000 0.0000 9.5586" Properties=species:S:1:pos:R:3 pbc="T T T"
Ba 0.0000 0.0000 0.0000
Ba 2.9250 0.0000 3.8359
Ag 0.0000 0.0000 5.8614
Pb 2.9250 0.0000 7.2679
```

***

# 17
BaAg2Pb | GGA-PBE | optimized geometry

Summary:
energy of formation	-141	meV per atom
density of states at the Fermi level	0.615	states/eV/atom
space-group type	Pm (6)

The structure in extended XYZ format:
```
4
Lattice="4.6235 0.0000 0.0000 0.0000 5.0272 0.0000 -1.1628 0.0000 5.3019" Properties=species:S:1:pos:R:3 pbc="T T T"
Ba 0.0000 0.0000 0.0000
Ag 0.9983 2.5136 4.2537
Ag 1.4388 0.0000 2.8635
Pb 2.7484 2.5136 1.9635
```

***

# 18
BaAg2Pb | GGA-PBE | optimized geometry

Summary:
energy of formation	-193	meV per atom
density of states at the Fermi level	0.252	states/eV/atom
space-group type	Cmcm (63)

The structure in extended XYZ format:
```
8
Lattice="2.4473 -6.2971 0.0000 2.4473 6.2971 0.0000 0.0000 0.0000 8.1801" Properties=species:S:1:pos:R:3 pbc="T T T"
Ba 2.4473 5.4245 6.1351
Ba 2.4473 -5.4245 2.0450
Ag 2.4473 3.3323 0.6437
Ag 2.4473 3.3323 3.4464
Ag 2.4473 -3.3323 4.7338
Ag 2.4473 -3.3323 7.5365
Pb 2.4473 1.7167 6.1351
Pb 2.4473 -1.7167 2.0450
```

***

# 19
BaAgPb6 | GGA-PBE | optimized geometry

Summary:
energy of formation	-148	meV per atom
density of states at the Fermi level	0.386	states/eV/atom
space-group type	P4/mmm (123)

The structure in extended XYZ format:
```
8
Lattice="5.0075 0.0000 0.0000 0.0000 5.0075 0.0000 0.0000 0.0000 10.8988" Properties=species:S:1:pos:R:3 pbc="T T T"
Ba 0.0000 0.0000 0.0000
Ag 0.0000 0.0000 5.4494
Pb 0.0000 2.5037 3.6482
Pb 0.0000 2.5037 7.2506
Pb 2.5037 0.0000 3.6482
Pb 2.5037 0.0000 7.2506
Pb 2.5037 2.5037 1.5815
Pb 2.5037 2.5037 9.3173
```

***

# 20
Ba3Ag3Pb8 | GGA-PBE | optimized geometry

Summary:
energy relative to the lowest polymorph listed for this composition	0.0	meV/atom
energy of formation	-286	meV per atom
density of states at the Fermi level	0.321	states/eV/atom
space-group type	C2/m (12)

The structure in extended XYZ format:
```
14
Lattice="9.3093 -2.6482 0.0000 9.3093 2.6482 0.0000 -6.1707 0.0000 8.9912" Properties=species:S:1:pos:R:3 pbc="T T T"
Ba 0.0000 0.0000 0.0000
Ba 3.6105 0.0000 2.7140
Ba 8.8374 0.0000 6.2772
Ag -3.0854 0.0000 4.4956
Ag 2.0732 0.0000 6.1708
Ag 10.3748 0.0000 2.8204
Pb 0.0370 0.0000 3.8148
Pb -2.5282 0.0000 7.7729
Pb 0.6125 0.0000 8.7462
Pb 5.1031 0.0000 6.0587
Pb 7.3448 0.0000 2.9325
Pb 11.8354 0.0000 0.2450
Pb 14.9762 0.0000 1.2182
Pb 12.4109 0.0000 5.1764
```

***

# 21
Ba2AgPb | GGA-PBE | optimized geometry

Summary:
energy of formation	-400	meV per atom
density of states at the Fermi level	0.355	states/eV/atom
space-group type	P2/m (10)

The structure in extended XYZ format:
```
4
Lattice="4.1349 0.0000 0.0000 0.0000 4.0733 0.0000 -0.0108 0.0000 8.9010" Properties=species:S:1:pos:R:3 pbc="T T T"
Ba 0.0000 0.0000 2.3259
Ba 4.1241 0.0000 6.5751
Ag 2.0620 2.0366 4.4505
Pb 2.0674 2.0366 0.0000
```